[1]
## Sr2Cl3 (PBE)

Data for a relaxed structure of Sr2Cl3.

POSCAR file:
```
Sr2Cl3
1.0
-4.8517 -6.2585 -1.2954
-2.3860 -4.5672 6.1508
-6.9589 -0.2373 2.3582
Sr Cl
4 6
Cartesian
-8.9416 -9.5622 5.1327
-8.8022 -4.2680 3.8840
-5.2550 -1.5008 2.0810
-5.3944 -6.7950 3.3296
-7.1264 -3.7552 6.3503
-9.9931 -7.0447 3.7233
-7.5852 -3.2662 1.3016
-4.2035 -4.0184 3.4903
-6.6114 -7.7968 5.9121
-7.0702 -7.3078 0.8633
```

V = 159.1 Å³/f.u.
space-group type = No. 167
ΔE_f (raw) = -2.08 eV/atom


[2]
## Ca2ZnTe (PBE)

Data for a relaxed structure of Ca2ZnTe.

POSCAR file:
```
Ca2ZnTe
1.0
5.3059 0.0053 0.0149
-0.0090 5.3060 0.0149
-0.0109 -0.0109 3.9241
Zn Te Ca
1 1 2
Cartesian
-0.0099 2.6475 1.9695
2.6475 -0.0028 1.9695
0.0000 0.0000 0.0000
2.6485 2.6556 0.0149
```

E above lowest polymorph = 0.068 eV/atom
V = 110.5 Å³/f.u.
space-group type = No. 123
ΔE_f (raw) = -0.71 eV/atom


[3]
## Y2FeMo (PBE)

Data for a relaxed structure of Y2FeMo.

POSCAR file:
```
Y2FeMo
1.0
4.8542 0.0000 0.0000
2.4271 4.2039 0.0000
2.4271 1.4013 3.9635
Fe Mo Y
1 1 2
Cartesian
4.8542 2.8026 1.9817
7.2813 4.2039 2.9726
0.0000 0.0000 0.0000
2.4271 1.4013 0.9909
```

E above lowest polymorph = 0.426 eV/atom
V = 80.9 Å³/f.u.
space-group type = No. 216
DFT formation energy = 0.5829 eV/atom


[4]
## KScCu2Cl8 (PBE)

Data for a relaxed structure of KScCu2Cl8.

POSCAR file:
```
KScCu2Cl8
1.0
7.1730 0.0000 0.0000
-3.5865 6.2120 0.0000
0.0000 0.0000 8.4440
K Sc Cu Cl
1 1 2 8
Cartesian
0.0000 0.0000 4.2220
0.0000 0.0000 0.0000
0.0000 4.1413 6.1680
3.5865 2.0707 2.2759
0.0000 1.9738 6.9181
-1.8771 5.2251 6.9181
1.8771 5.2251 6.9181
1.7093 0.9869 1.5258
3.5865 2.0707 4.4437
0.0000 4.1413 4.0003
3.5865 4.2382 1.5258
5.4636 0.9869 1.5258
```

V = 376.2 Å³/f.u.
space-group type = No. 164
ΔE_f (raw) = -1.15 eV/atom


[5]
## HfZn2SiSn (PBE)

Data for a relaxed structure of HfZn2SiSn.

POSCAR file:
```
HfZn2SiSn
1.0
5.1802 0.0000 0.0000
0.0000 5.0715 0.0000
0.0000 0.0000 5.1802
Si Zn Hf Sn
1 2 1 1
Cartesian
0.0000 2.5358 0.0000
0.0000 0.0000 2.5901
2.5901 0.0000 0.0000
0.0000 0.0000 0.0000
2.5901 2.5358 2.5901
```

V = 136.1 Å³/f.u.
space-group type = No. 123
ΔE_f (raw) = 0.75 eV/atom


[6]
## CaCd2Ir (PBE)

Data for a relaxed structure of CaCd2Ir.

POSCAR file:
```
CaCd2Ir
1.0
9.8864 -0.0282 -0.0166
9.3721 3.1474 -0.0166
9.3721 1.5180 2.7572
Ca Ir Cd
1 1 2
Cartesian
21.7818 3.5279 2.0725
14.3298 2.3209 1.3634
28.5659 4.6267 2.7180
6.8991 1.1174 0.6564
```

V = 87.0 Å³/f.u.
space-group type = No. 160
DFT formation energy = 0.1523 eV/atom


[7]
## SiHgBr3 (PBE)

Data for a relaxed structure of SiHgBr3.

POSCAR file:
```
SiHgBr3
1.0
-2.0808 3.5305 3.6892
-4.7342 0.1589 -2.8224
-1.9135 -4.2326 2.9712
Si Hg Br
1 1 3
Cartesian
-4.3643 -0.2716 1.9190
0.0000 0.0000 0.0000
-2.3671 0.0795 -1.4112
-0.9567 -2.1163 1.4856
-1.0404 1.7652 1.8446
```

E above lowest polymorph = 0.766 eV/atom
V = 167.6 Å³/f.u.
space-group type = No. 221
ΔE_f (raw) = 0.40 eV/atom


[8]
## NaPr2Hg3 (PBE)

Data for a relaxed structure of NaPr2Hg3.

POSCAR file:
```
NaPr2Hg3
1.0
5.3609 0.0000 0.0000
-2.6804 4.6427 0.0000
0.0000 0.0000 13.2296
Na Pr Hg
2 4 6
Cartesian
0.0000 3.0951 8.7985
2.6804 1.5476 4.4311
0.0000 0.0000 6.6148
0.0000 3.0951 2.3679
2.6804 1.5476 10.8617
0.0000 0.0000 0.0000
0.0000 3.0951 5.5771
2.6804 1.5476 1.1209
0.0000 0.0000 9.8817
0.0000 0.0000 3.3480
0.0000 3.0951 12.1087
2.6804 1.5476 7.6525
```

E above lowest polymorph = 0.000 eV/atom
V = 164.6 Å³/f.u.
space-group type = No. 164
DFT formation energy = -0.4124 eV/atom


Number 1: uncorrected energy -3.864 eV per atom. Number 2: uncorrected energy -2.818 eV per atom. Number 3: uncorrected energy -7.473 eV per atom. Number 4: uncorrected energy -3.682 eV per atom. Number 5: uncorrected energy -3.631 eV per atom. Number 6: uncorrected energy -3.021 eV per atom. Number 7: uncorrected energy -1.754 eV per atom. Number 8: uncorrected energy -2.376 eV per atom.